## Ac2VNiO6 (GGA+U)

Data for a relaxed Ac2VNiO6 crystal.

The space group is P2_1/c (No. 14) and the conventional cell measures 5.690, 5.595 and 9.846 Å, with angles of 90.00, 125.26 and 90.00 degrees. The asymmetric unit holds Ac at (0.247, 0.015, 0.249), V at (0.500, 0.000, 0.000), Ni at (0.000, 0.000, 0.500), O at (0.205, 0.226, 0.968), O at (0.249, 0.743, 0.970) and O at (0.315, 0.003, 0.756).

As for the electronic total energy: -0.2721 hartree per atom.